This record from the Alexandria database describes a geometry-optimized BaCa2I6 structure. The functional is PBE.

Lattice parameters (Å, degrees): 7.4134 8.2132 27.5760 90.00 90.00 90.00
Closest atoms and distances in Å follow each position.
Positions (direct):
1 I 0.7497 0.9350 0.2095  2 Ca 3.18-3.19, 1 Ba 3.48
2 I 0.2493 0.6041 0.3691  2 Ca 3.19, 1 Ba 3.46
3 I 0.2335 0.5642 0.0319  2 Ca 3.14-3.18, 1 Ba 3.45
4 I 0.2665 0.0642 0.4681  2 Ca 3.14-3.18, 1 Ba 3.45
5 Ca 0.0000 0.7500 0.2855  6 I 3.18-3.19
6 Ca 0.5000 0.7500 0.7855  6 I 3.18-3.19
7 Ca 0.0000 0.7500 0.9526  6 I 3.14-3.19
8 Ba 0.5000 0.2500 0.8818  6 I 3.45-3.48
9 I 0.7507 0.3959 0.6309  2 Ca 3.19, 1 Ba 3.46
10 I 0.2497 0.5650 0.7095  2 Ca 3.18-3.19, 1 Ba 3.48
11 Ba 0.0000 0.2500 0.3818  6 I 3.45-3.48
12 I 0.2507 0.6041 0.8691  2 Ca 3.19, 1 Ba 3.46
13 I 0.2503 0.5650 0.2095  2 Ca 3.18-3.19, 1 Ba 3.48
14 I 0.7503 0.4350 0.2905  2 Ca 3.18-3.19, 1 Ba 3.48
15 I 0.7497 0.4350 0.7905  2 Ca 3.18-3.19, 1 Ba 3.48
16 I 0.7507 0.8959 0.3691  2 Ca 3.19, 1 Ba 3.46
17 Ca 0.5000 0.2500 0.5474  6 I 3.14-3.19
18 I 0.2503 0.0650 0.7905  2 Ca 3.18-3.19, 1 Ba 3.48
19 I 0.7335 0.9358 0.5319  2 Ca 3.14-3.18, 1 Ba 3.45
20 I 0.2335 0.0642 0.9681  2 Ca 3.14-3.18, 1 Ba 3.45
21 I 0.2507 0.1041 0.1309  2 Ca 3.19, 1 Ba 3.46
22 I 0.2665 0.5642 0.5319  2 Ca 3.14-3.18, 1 Ba 3.45
23 Ca 0.0000 0.2500 0.0474  6 I 3.14-3.19
24 I 0.7493 0.3959 0.1309  2 Ca 3.19, 1 Ba 3.46
25 I 0.2497 0.0650 0.2905  2 Ca 3.18-3.19, 1 Ba 3.48
26 Ca 0.5000 0.7500 0.4526  6 I 3.14-3.19
27 I 0.7493 0.8959 0.8691  2 Ca 3.19, 1 Ba 3.46
28 Ca 0.5000 0.2500 0.2145  6 I 3.18-3.19
29 I 0.7503 0.9350 0.7095  2 Ca 3.18-3.19, 1 Ba 3.48
30 I 0.7335 0.4358 0.4681  2 Ca 3.14-3.18, 1 Ba 3.45
31 Ba 0.0000 0.7500 0.6182  6 I 3.45-3.48
32 Ba 0.5000 0.7500 0.1182  6 I 3.45-3.48
33 Ca 0.0000 0.2500 0.7145  6 I 3.18-3.19
34 I 0.2493 0.1041 0.6309  2 Ca 3.19, 1 Ba 3.46
35 I 0.7665 0.9358 0.0319  2 Ca 3.14-3.18, 1 Ba 3.45
36 I 0.7665 0.4358 0.9681  2 Ca 3.14-3.18, 1 Ba 3.45

Output
Energy above the most stable polymorph in this dataset = 18 meV/atom
Formation energy (no corrections) = -1.63 eV per atom
Total energy = -0.1221 Ha/atom
Density of states at the Fermi level = 0.0 states/eV per cell
Magnetic moment = 0.00 μB/atom

***

This record from the Alexandria database describes a geometry-optimized BaCa2I6 structure. The functional is PBE.

Lattice parameters (Å, degrees): 8.0707 7.3539 15.6538 66.45 90.00 90.00
Closest atoms and distances in Å follow each position.
Positions (direct):
1 I 0.3037 0.4475 0.3942  2 Ca 3.18-3.22, 1 Ba 3.42
2 Ca 0.0937 0.3338 0.2476  6 I 3.17-3.28
3 I 0.3204 0.6747 0.1053  2 Ca 3.17-3.18, 1 Ba 3.46
4 I 0.4175 0.0472 0.2712  2 Ca 3.26-3.28, 1 Ba 3.52
5 Ca 0.9063 0.6662 0.7524  6 I 3.17-3.28
6 I 0.9175 0.9528 0.2288  2 Ca 3.26-3.28, 1 Ba 3.52
7 Ca 0.4063 0.3338 0.7476  6 I 3.17-3.28
8 Ba 0.5000 0.0000 0.5000  6 I 3.42-3.52
9 I 0.6796 0.3253 0.8947  2 Ca 3.17-3.18, 1 Ba 3.46
10 I 0.6963 0.5525 0.6058  2 Ca 3.18-3.22, 1 Ba 3.42
11 I 0.8037 0.5525 0.1058  2 Ca 3.18-3.22, 1 Ba 3.42
12 I 0.1796 0.6747 0.6053  2 Ca 3.17-3.18, 1 Ba 3.46
13 I 0.1963 0.4475 0.8942  2 Ca 3.18-3.22, 1 Ba 3.42
14 I 0.5825 0.9528 0.7288  2 Ca 3.26-3.28, 1 Ba 3.52
15 Ca 0.5937 0.6662 0.2524  6 I 3.17-3.28
16 I 0.0825 0.0472 0.7712  2 Ca 3.26-3.28, 1 Ba 3.52
17 Ba 0.0000 0.0000 0.0000  6 I 3.42-3.52
18 I 0.8204 0.3253 0.3947  2 Ca 3.17-3.18, 1 Ba 3.46

Output
Energy above the most stable polymorph in this dataset = 65 meV/atom
Formation energy (no corrections) = -1.58 eV per atom
Total energy = -0.1203 Ha/atom
Density of states at the Fermi level = 0.0 states/eV per cell
Magnetic moment = 0.00 μB/atom

***

This record from the Alexandria database describes a geometry-optimized BaCa2I structure. The functional is PBE.

Lattice parameters (Å, degrees): 6.3946 6.3946 6.3946 60.00 60.00 60.00
Closest atoms and distances in Å follow each position.
Positions (direct):
1 Ca 0.2500 0.2500 0.2500  4 Ba 3.92, 4 I 3.92
2 I 0.0000 0.0000 0.0000  8 Ca 3.92
3 Ba 0.5000 0.5000 0.5000  8 Ca 3.92
4 Ca 0.7500 0.7500 0.7500  4 Ba 3.92, 4 I 3.92

Output
Energy above the most stable polymorph in this dataset = 283 meV/atom
Formation energy (no corrections) = -0.06 eV per atom
Total energy = -0.0710 Ha/atom
Density of states at the Fermi level = 6.1 states/eV per cell
Magnetic moment = 0.00 μB/atom

***

This record from the Alexandria database describes a geometry-optimized BaCa3I structure. The functional is PBE.

Lattice parameters (Å, degrees): 6.2727 6.2727 6.2727 90.00 90.00 90.00
Closest atoms and distances in Å follow each position.
Positions (direct):
1 Ca 0.5000 0.0000 0.0000  2 I 3.14
2 Ca 0.0000 0.5000 0.0000  2 I 3.14
3 Ca 0.0000 0.0000 0.5000  2 I 3.14
4 Ba 0.5000 0.5000 0.5000  12 Ca 4.44
5 I 0.0000 0.0000 0.0000  6 Ca 3.14

Output
Energy above the most stable polymorph in this dataset = 0 meV/atom
Formation energy (no corrections) = -0.13 eV per atom
Total energy = -0.0744 Ha/atom
Density of states at the Fermi level = 12.5 states/eV per cell
Magnetic moment = 0.13 μB/atom

***

This record from the Alexandria database describes a geometry-optimized BaCa2IrI structure. The functional is PBE.

Lattice parameters (Å, degrees): 5.5696 5.5696 6.1626 90.00 90.00 90.00
Closest atoms and distances in Å follow each position.
Positions (direct):
1 Ir 0.0000 0.0000 0.0000  4 Ca 2.78, 2 Ba 3.08
2 Ca 0.5000 0.0000 0.0000  2 Ir 2.78
3 Ba 0.0000 0.0000 0.5000  2 Ir 3.08
4 Ca 0.0000 0.5000 0.0000  2 Ir 2.78
5 I 0.5000 0.5000 0.5000  4 Ba 3.94, 8 Ca 4.15

Output
Formation energy (no corrections) = -0.51 eV per atom
Total energy = -0.1388 Ha/atom
Density of states at the Fermi level = 3.7 states/eV per cell
Magnetic moment = 0.00 μB/atom

***

This record from the Alexandria database describes a geometry-optimized K2BaCaI6 structure. The functional is PBE.

Lattice parameters (Å, degrees): 8.4802 9.0526 12.2781 90.00 90.84 90.00
Closest atoms and distances in Å follow each position.
Positions (direct):
1 I 0.6737 0.2956 0.5722  1 Ca 3.17, 1 Ba 3.46
2 I 0.3617 0.9500 0.7357  1 Ca 3.17, 1 Ba 3.46
3 I 0.1998 0.1824 0.4312  1 Ca 3.14, 1 Ba 3.45
4 I 0.1383 0.4500 0.7643  1 Ca 3.17, 1 Ba 3.46
5 I 0.8617 0.5500 0.2357  1 Ca 3.17, 1 Ba 3.46
6 K 0.9656 0.0883 0.7529  6 I 3.59-3.80
7 I 0.8263 0.7956 0.9278  1 Ca 3.17, 1 Ba 3.46
8 I 0.6998 0.3176 0.9312  1 Ca 3.14, 1 Ba 3.45
9 K 0.4656 0.4117 0.2529  6 I 3.59-3.80
10 Ba 0.0000 0.5000 0.5000  6 I 3.45-3.46
11 Ca 0.5000 0.0000 0.5000  6 I 3.14-3.17
12 Ca 0.0000 0.5000 0.0000  6 I 3.14-3.17
13 I 0.1737 0.2044 0.0722  1 Ca 3.17, 1 Ba 3.46
14 I 0.3002 0.6824 0.0688  1 Ca 3.14, 1 Ba 3.45
15 Ba 0.5000 0.0000 0.0000  6 I 3.45-3.46
16 I 0.8002 0.8176 0.5688  1 Ca 3.14, 1 Ba 3.45
17 K 0.5344 0.5883 0.7471  6 I 3.59-3.80
18 I 0.6383 0.0500 0.2643  1 Ca 3.17, 1 Ba 3.46
19 K 0.0344 0.9117 0.2471  6 I 3.59-3.80
20 I 0.3263 0.7044 0.4278  1 Ca 3.17, 1 Ba 3.46

Output
Formation energy (no corrections) = -1.60 eV per atom
Total energy = -0.1153 Ha/atom
Density of states at the Fermi level = 0.0 states/eV per cell
Magnetic moment = 0.00 μB/atom

***

This record from the Alexandria database describes a geometry-optimized BaCa2MgI8 structure. The functional is PBE.

Lattice parameters (Å, degrees): 7.6152 7.2446 9.5541 90.00 90.00 88.61
Closest atoms and distances in Å follow each position.
Positions (direct):
1 I 0.1584 0.7622 0.7852  1 Mg 2.92, 1 Ca 3.19
2 I 0.1584 0.7622 0.2148  1 Mg 2.92, 1 Ca 3.19
3 I 0.3602 0.2782 0.5000  2 Ca 3.19, 1 Ba 3.44
4 I 0.8416 0.2378 0.2148  1 Mg 2.92, 1 Ca 3.19
5 I 0.6398 0.7218 0.5000  2 Ca 3.19, 1 Ba 3.44
6 I 0.6683 0.7474 0.0000  1 Mg 3.15, 2 Ca 3.17
7 I 0.8416 0.2378 0.7852  1 Mg 2.92, 1 Ca 3.19
8 I 0.3317 0.2526 0.0000  1 Mg 3.15, 2 Ca 3.17
9 Mg 0.0000 0.0000 0.0000  6 I 2.92-3.15
10 Ba 0.0000 0.0000 0.5000  6 I 3.43-3.44
11 Ca 0.5000 0.5000 0.2354  6 I 3.17-3.19
12 Ca 0.5000 0.5000 0.7646  6 I 3.17-3.19

Output
Formation energy (no corrections) = -1.45 eV per atom
Total energy = -0.1143 Ha/atom
Density of states at the Fermi level = 0.0 states/eV per cell
Magnetic moment = 0.00 μB/atom

***

This record from the Alexandria database describes a geometry-optimized BaCaMn2I8 structure. The functional is PBE.

Lattice parameters (Å, degrees): 7.5123 7.5123 10.5198 90.00 90.00 120.00
Closest atoms and distances in Å follow each position.
Positions (direct):
1 I 0.6667 0.3333 0.9960  1 Mn 2.65
2 I 0.3333 0.6667 0.0040  1 Mn 2.65
3 I 0.0093 0.6896 0.3055  1 Mn 2.70
4 I 0.3104 0.3197 0.3055  1 Mn 2.70
5 Mn 0.3333 0.6667 0.7522  4 I 2.65-2.70
6 I 0.6896 0.6803 0.6945  1 Mn 2.70
7 Ca 0.0000 0.0000 0.5000  6 I 3.13
8 Mn 0.6667 0.3333 0.2478  4 I 2.65-2.70
9 I 0.3197 0.0093 0.6945  1 Mn 2.70
10 I 0.6803 0.9907 0.3055  1 Mn 2.70
11 Ba 0.0000 0.0000 0.0000  12 I 3.99-4.34
12 I 0.9907 0.3104 0.6945  1 Mn 2.70

Output
Formation energy (no corrections) = -0.98 eV per atom
Total energy = -0.1423 Ha/atom
Density of states at the Fermi level = 0.0 states/eV per cell
Magnetic moment = 0.83 μB/atom

***

This record from the Alexandria database describes a geometry-optimized BaCaI2N structure. The functional is PBE.

Lattice parameters (Å, degrees): 6.1553 6.1553 4.4871 90.00 90.00 90.00
Closest atoms and distances in Å follow each position.
Positions (direct):
1 Ba 0.5000 0.5000 0.5000  8 I 3.81
2 Ca 0.0000 0.0000 0.0000  2 N 2.24
3 I 0.5000 0.0000 0.0000  2 Ca 3.08
4 N 0.0000 0.0000 0.5000  2 Ca 2.24
5 I 0.0000 0.5000 0.0000  2 Ca 3.08

Output
Energy above the most stable polymorph in this dataset = 0 meV/atom
Formation energy (no corrections) = -0.65 eV per atom
Total energy = -0.1368 Ha/atom
Density of states at the Fermi level = 3.9 states/eV per cell
Magnetic moment = 0.21 μB/atom

***

This record from the Alexandria database describes a geometry-optimized BaCaI2N structure. The functional is PBE.

Lattice parameters (Å, degrees): 6.6797 6.6797 4.5941 90.00 90.00 90.00
Closest atoms and distances in Å follow each position.
Positions (direct):
1 N 0.0000 0.0000 0.5000  2 Ba 2.30
2 Ba 0.0000 0.0000 0.0000  2 N 2.30
3 I 0.0000 0.5000 0.0000  2 Ba 3.34
4 I 0.5000 0.0000 0.0000  2 Ba 3.34
5 Ca 0.5000 0.5000 0.5000  8 I 4.05

Output
Energy above the most stable polymorph in this dataset = 456 meV/atom
Formation energy (no corrections) = -0.20 eV per atom
Total energy = -0.1200 Ha/atom
Density of states at the Fermi level = 3.4 states/eV per cell
Magnetic moment = 0.15 μB/atom

***

This record from the Alexandria database describes a geometry-optimized Ba2CaNiI structure. The functional is PBE.

Lattice parameters (Å, degrees): 6.9677 5.7256 6.9677 90.00 90.00 90.00
Closest atoms and distances in Å follow each position.
Positions (direct):
1 Ca 0.0000 0.0000 0.0000  2 I 2.86
2 Ba 0.5000 0.0000 0.0000  2 Ca 3.48
3 Ni 0.5000 0.5000 0.5000  8 Ba 4.51, 4 I 4.93
4 I 0.0000 0.5000 0.0000  2 Ca 2.86
5 Ba 0.0000 0.0000 0.5000  2 Ca 3.48

Output
Energy above the most stable polymorph in this dataset = 940 meV/atom
Formation energy (no corrections) = 0.57 eV per atom
Total energy = -0.0759 Ha/atom
Density of states at the Fermi level = 13.8 states/eV per cell
Magnetic moment = 0.18 μB/atom

***

This record from the Alexandria database describes a geometry-optimized BaCa2NiI structure. The functional is PBE.

Lattice parameters (Å, degrees): 5.4603 5.4603 6.3237 90.00 90.00 90.00
Closest atoms and distances in Å follow each position.
Positions (direct):
1 Ca 0.0000 0.5000 0.0000  2 Ni 2.73
2 Ca 0.5000 0.0000 0.0000  2 Ni 2.73
3 Ba 0.0000 0.0000 0.5000  2 Ni 3.16
4 Ni 0.0000 0.0000 0.0000  4 Ca 2.73
5 I 0.5000 0.5000 0.5000  4 Ba 3.86, 8 Ca 4.18

Output
Formation energy (no corrections) = -0.36 eV per atom
Total energy = -0.1108 Ha/atom
Density of states at the Fermi level = 3.5 states/eV per cell
Magnetic moment = 0.00 μB/atom